[1]
Computed, not measured: crystalline Ac4IrPt2Au at its relaxed geometry at the GGA-PBE level of DFT.

Cell lengths 7.6253, 4.3981, 7.6759 Å; angles 90.00, 109.23, 90.00 degrees
With the nearest neighbours (Å) after each atom.
Fractional coordinates of all 8 atoms:
Ac 0.2433 0.0000 0.2332  3 Pt 3.05-3.18, 1 Ir 3.06, 2 Au 3.20
Ac 0.2533 0.5000 0.7630  3 Pt 3.06-3.17, 2 Ir 3.07, 1 Au 3.18
Ac 0.7467 0.5000 0.2370  3 Pt 3.06-3.17, 2 Ir 3.07, 1 Au 3.18
Ac 0.7567 0.0000 0.7668  3 Pt 3.05-3.18, 1 Ir 3.06, 2 Au 3.20
Ir 0.5000 0.0000 0.0000  6 Ac 3.06-3.07
Pt 0.0000 0.0000 0.5000  6 Ac 3.17-3.18
Pt 0.0000 0.5000 0.0000  6 Ac 3.05-3.06
Au 0.5000 0.5000 0.5000  6 Ac 3.18-3.20

Calculated values
Symmetry: P2/m (10)
Magnetization: 0.00 μB per formula unit
DFT formation energy: -0.94 eV/atom
Total DFT energy (no corrections): -6.02 eV/atom



[2]
Computed, not measured: crystalline LiTaP2 at its relaxed geometry at the GGA-PBE level of DFT.

Cell lengths 3.2461, 3.2578, 5.6744 Å; angles 90.00, 90.00, 90.00 degrees
With the nearest neighbours (Å) after each atom.
Fractional coordinates of all 4 atoms:
Li 0.0000 0.0000 0.0000  8 P 2.77, 2 Ta 2.84
Ta 0.0000 0.0000 0.5000  8 P 2.64, 2 Li 2.84
P 0.5000 0.5000 0.2716  1 P 2.59, 4 Ta 2.64, 4 Li 2.77
P 0.5000 0.5000 0.7284  1 P 2.59, 4 Ta 2.64, 4 Li 2.77

Calculated values
Symmetry: Pmmm (47)
Relative energy among the computed polymorphs: 112 meV/atom
Magnetization: 0.00 μB per formula unit
DFT formation energy: -0.46 eV/atom
Total DFT energy (no corrections): -6.60 eV/atom



[3]
Computed, not measured: crystalline Pm4SnHg5 at its relaxed geometry at the GGA-PBE level of DFT.

Cell lengths 8.5048, 8.5048, 6.5407 Å; angles 103.05, 103.05, 35.88 degrees
With the nearest neighbours (Å) after each atom.
Fractional coordinates of all 10 atoms:
Pm 0.0928 0.0928 0.3367  6 Hg 3.11-3.44, 2 Sn 3.32
Pm 0.3118 0.3118 0.1811  6 Hg 3.02-3.31, 1 Sn 3.26
Pm 0.6882 0.6882 0.8189  6 Hg 3.02-3.31, 1 Sn 3.26
Pm 0.9072 0.9072 0.6633  6 Hg 3.11-3.44, 2 Sn 3.32
Sn 0.5000 0.5000 0.5000  6 Pm 3.26-3.32, 2 Hg 3.27
Hg 0.1016 0.1016 0.8670  4 Pm 3.02-3.11, 2 Hg 3.32
Hg 0.2817 0.2817 0.6642  7 Pm 3.29-3.32, 3 Hg 3.39-3.48
Hg 0.5000 0.5000 0.0000  2 Sn 3.27, 4 Hg 3.32, 6 Pm 3.52
Hg 0.7183 0.7183 0.3358  7 Pm 3.29-3.32, 3 Hg 3.39-3.48
Hg 0.8984 0.8984 0.1330  4 Pm 3.02-3.11, 2 Hg 3.32

Calculated values
Symmetry: C2/m (12)
Magnetization: 0.00 μB per formula unit
DFT formation energy: -0.51 eV/atom
Total DFT energy (no corrections): -2.96 eV/atom



[4]
Computed, not measured: crystalline Cs3TlAu2I6 at its relaxed geometry at the GGA-PBE level of DFT.

Cell lengths 9.1847, 9.1847, 10.1632 Å; angles 90.00, 90.00, 120.00 degrees
With the nearest neighbours (Å) after each atom.
Fractional coordinates of all 12 atoms:
Cs 0.0000 0.0000 0.0000  6 I 3.87
Cs 0.3333 0.6667 0.6372  1 Au 3.69
Cs 0.6667 0.3333 0.3628  1 Au 3.69
Tl 0.0000 0.0000 0.5000  6 I 3.41
Au 0.3333 0.6667 0.2745  3 I 2.71
Au 0.6667 0.3333 0.7255  3 I 2.71
I 0.1630 0.3259 0.2821  1 Au 2.71
I 0.1630 0.8370 0.2821  1 Au 2.71
I 0.3259 0.1630 0.7179  1 Au 2.71
I 0.6741 0.8370 0.2821  1 Au 2.71
I 0.8370 0.1630 0.7179  1 Au 2.71
I 0.8370 0.6741 0.7179  1 Au 2.71

Calculated values
Symmetry: P-3m1 (164)
Formation energy from raw total energies: -0.831 eV/atom
Magnetization: 0.00 μB per formula unit
Total DFT energy (no corrections): -2.56 eV/atom